The following is a DFT calculation (GGA-PBE) of an optimized crystal structure of Sr2Mg2I.

V, Å³ per cell: 382
Density of states at the Fermi level, states/eV/atom: 0.751
Raw total energy, eV per atom: -1.876
Energy above the lowest structure with this stoichiometry, eV/atom: 0.077
Crystal system: tetragonal
Energy relative to the elements, uncorrected, eV per atom: -0.25

Cell: 9.172 9.172 4.546 Å, 90.00 90.00 90.00°
Atoms (fractional coordinates):
1 I 0.000 0.000 0.000
2 I 0.500 0.500 0.000
3 Mg 0.381 0.881 0.000
4 Mg 0.119 0.381 0.000
5 Mg 0.881 0.619 0.000
6 Mg 0.619 0.119 0.000
7 Sr 0.673 0.827 0.500
8 Sr 0.327 0.173 0.500
9 Sr 0.173 0.673 0.500
10 Sr 0.827 0.327 0.500